Entry 1:
DFT (PBE-GGA) results for a relaxed structure of YTi2Os2.

Results
**Distance to the lowest polymorph of the same formula**: 0.146 eV/atom
**VASP energy**: -9.177 eV/atom
**N(E_F)**: 2.86 states/eV/f.u.
**Energy relative to the elements**: -0.2346 eV/atom

```
YTi2Os2
1.0
7.644 0.000 0.000
0.000 7.644 0.000
0.000 0.000 3.048
Y Os Ti
2 4 4
Direct
0.000 0.000 0.000
0.500 0.500 0.000
0.146 0.354 0.000
0.854 0.646 0.000
0.354 0.854 0.000
0.646 0.146 0.000
0.642 0.858 0.500
0.142 0.642 0.500
0.858 0.358 0.500
0.358 0.142 0.500
```



Entry 2:
DFT (PBE-GGA) results for a relaxed structure of SrNiW2.

Results
**Distance to the lowest polymorph of the same formula**: 0.578 eV/atom
**VASP energy**: -7.195 eV/atom
**N(E_F)**: 4.82 states/eV/f.u.
**Energy relative to the elements**: 1.1471 eV/atom

```
SrNiW2
1.0
5.761 0.020 0.000
-3.298 4.723 0.000
0.000 0.000 2.708
W Ni Sr
2 1 1
Direct
0.500 0.500 0.000
0.000 0.000 0.000
0.500 0.000 0.500
0.000 0.500 0.500
```



Entry 3:
DFT (PBE-GGA) results for a relaxed structure of RbSc3Co.

Results
**Distance to the lowest polymorph of the same formula**: 0.000 eV/atom
**VASP energy**: -5.153 eV/atom
**N(E_F)**: 10.25 states/eV/f.u.
**Energy relative to the elements**: 0.2609 eV/atom

```
RbSc3Co
1.0
5.100 0.000 0.000
0.000 5.100 0.000
0.000 0.000 5.100
Co Sc Rb
1 3 1
Direct
0.000 0.000 0.000
0.000 0.500 0.000
0.500 0.000 0.000
0.000 0.000 0.500
0.500 0.500 0.500
```



Entry 4:
DFT (PBE-GGA) results for a relaxed structure of Nb3ClO7.

Results
**Formation energy from raw total energies**: -233.1 kJ/mol of atoms
**VASP energy**: -8.485 eV/atom
**N(E_F)**: 0.00 states/eV/f.u.

```
Nb3ClO7
1.0
-2.938 0.302 2.555
4.345 -8.260 5.973
8.407 10.512 8.422
O Cl Nb
28 4 12
Direct
0.994 0.626 0.433
0.993 0.616 0.613
0.503 0.970 0.300
0.993 0.884 0.613
0.506 0.626 0.933
0.007 0.384 0.387
0.007 0.116 0.387
0.497 0.030 0.700
0.506 0.874 0.933
0.493 0.384 0.887
0.997 0.970 0.800
0.985 0.250 0.976
0.515 0.250 0.476
0.497 0.470 0.700
0.507 0.616 0.113
0.503 0.530 0.300
0.997 0.530 0.800
0.494 0.374 0.067
0.994 0.874 0.433
0.507 0.884 0.113
0.015 0.750 0.024
0.493 0.116 0.887
0.485 0.750 0.524
0.006 0.126 0.567
0.003 0.470 0.200
0.006 0.374 0.567
0.494 0.126 0.067
0.003 0.030 0.200
0.008 0.750 0.260
0.492 0.750 0.760
0.508 0.250 0.240
0.992 0.250 0.740
0.999 0.036 0.664
0.001 0.536 0.336
0.999 0.464 0.664
0.001 0.964 0.336
0.951 0.750 0.530
0.499 0.536 0.836
0.499 0.964 0.836
0.049 0.250 0.470
0.501 0.036 0.164
0.451 0.250 0.970
0.549 0.750 0.030
0.501 0.464 0.164
```



Entry 5:
DFT (PBE-GGA) results for a relaxed structure of Ba2TaNi.

Results
**Distance to the lowest polymorph of the same formula**: 0.650 eV/atom
**VASP energy**: -4.291 eV/atom
**N(E_F)**: 4.32 states/eV/f.u.
**Energy relative to the elements**: 1.0785 eV/atom

```
Ba2TaNi
1.0
-0.643 1.537 -5.548
-5.621 -0.584 1.270
-0.133 3.296 0.928
Ta Ni Ba
1 1 2
Direct
0.000 0.500 0.500
0.500 0.000 0.500
0.000 0.000 0.000
0.500 0.500 0.000
```



Entry 6:
DFT (PBE-GGA) results for a relaxed structure of Cs2SbRh2.

Results
**Distance to the lowest polymorph of the same formula**: 1.007 eV/atom
**Formation energy from raw total energies**: 110.8 kJ/mol of atoms
**VASP energy**: -2.958 eV/atom
**N(E_F)**: 7.74 states/eV/f.u.

```
Cs2SbRh2
1.0
9.501 0.000 0.000
0.000 9.501 0.000
0.000 0.000 3.228
Rh Cs Sb
4 4 2
Direct
0.818 0.318 0.500
0.682 0.818 0.500
0.182 0.682 0.500
0.318 0.182 0.500
0.369 0.869 0.000
0.131 0.369 0.000
0.631 0.131 0.000
0.869 0.631 0.000
0.000 0.000 0.000
0.500 0.500 0.000
```